# Ba2AlCd

Crystalline Ba2AlCd at its relaxed geometry (PBE-GGA, Alexandria via LeMat-Bulk).

Properties
Space-group type: R-3m
Energy relative to the elements, eV per atom: 0.056
Mass density, g/cm3: 4.10

a b c (Å): 10.6438 10.6438 10.6438
angles (deg): 23.46 23.46 23.46
With the nearest neighbours (Å) after each atom.
Sites, in units of the cell vectors:
Cd: 0.2500 0.2500 0.2500  6 Ba 3.67
Ba: 0.0032 0.0032 0.0032  3 Al 3.52, 3 Cd 3.67
Al: 0.7500 0.7500 0.7500  6 Ba 3.52
Ba: 0.4968 0.4968 0.4968  3 Al 3.52, 3 Cd 3.67